Record 1
Compound: NbTcS2Cl
Source: Alexandria
Functional: PBE-GGA
Structure: optimized geometry Values from VASP.

Structure (Quantum ESPRESSO input):
```
&SYSTEM
  ibrav = 0, nat = 5, ntyp = 4
/
ATOMIC_SPECIES
Nb 92.91 Nb.upf
Tc 98.00 Tc.upf
S 32.06 S.upf
Cl 35.45 Cl.upf
CELL_PARAMETERS angstrom
4.8354 0.0000 0.0000
0.0000 4.8354 0.0000
0.0000 0.0000 4.8092
ATOMIC_POSITIONS angstrom
Nb 0.0000 0.0000 0.0000
Tc 2.4177 2.4177 2.4046
S 0.0000 2.4177 0.0000
S 2.4177 0.0000 0.0000
Cl 0.0000 0.0000 2.4046
```

As for the space group: P4/mmm.

=====

Record 2
Compound: NbTcS2Cl
Source: Alexandria
Functional: PBE-GGA
Structure: optimized geometry Values from VASP.

Structure (Quantum ESPRESSO input):
```
&SYSTEM
  ibrav = 0, nat = 5, ntyp = 4
/
ATOMIC_SPECIES
Nb 92.91 Nb.upf
Tc 98.00 Tc.upf
S 32.06 S.upf
Cl 35.45 Cl.upf
CELL_PARAMETERS angstrom
4.5885 0.0000 0.0000
0.0000 4.5885 0.0000
0.0000 0.0000 4.6309
ATOMIC_POSITIONS angstrom
Nb 0.0000 0.0000 0.0000
Tc 2.2942 2.2942 2.3154
S 0.0000 2.2942 2.3154
S 2.2942 0.0000 2.3154
Cl 2.2942 2.2942 0.0000
```

As for the space group: P4/mmm.

=====

Number 1: electronic total energy -5.766 eV per atom. Number 2: electronic total energy -5.443 eV per atom.